HfNiPb2C | PBE-GGA | relaxed

a = 5.487 Å, b = 5.487 Å, c = 3.473 Å
α = 90.00°, β = 90.00°, γ = 90.00°
Fractional positions:
Hf  0.000  0.000  0.000
Ni  0.500  0.500  0.500
Pb  0.000  0.500  0.500
Pb  0.500  0.000  0.500
C  0.500  0.500  0.000

VASP energy = -28.7 eV/cell
V = 20.9 Å³ per atom
E_form = 0.73 eV/atom
Symmetry = No. 123

***

Li4Zn3Ga5 | PBE-GGA | relaxed

a = 6.637 Å, b = 6.637 Å, c = 8.030 Å
α = 116.45°, β = 116.45°, γ = 42.97°
Fractional positions:
Li  0.085  0.085  0.439
Li  0.203  0.203  0.878
Li  0.797  0.797  0.122
Li  0.915  0.915  0.561
Zn  0.233  0.233  0.259
Zn  0.500  0.500  0.000
Zn  0.767  0.767  0.741
Ga  0.000  0.000  0.000
Ga  0.325  0.325  0.646
Ga  0.449  0.449  0.306
Ga  0.551  0.551  0.694
Ga  0.675  0.675  0.354

VASP energy = -27.8 eV/cell
V = 17.6 Å³ per atom
E_form = -0.10 eV/atom
Symmetry = No. 12

***

Nd6YMg | PBE-GGA | relaxed

a = 5.087 Å, b = 5.087 Å, c = 10.286 Å
α = 90.00°, β = 90.00°, γ = 90.00°
Fractional positions:
Nd  0.000  0.000  0.000
Nd  0.000  0.000  0.500
Nd  0.000  0.500  0.247
Nd  0.000  0.500  0.753
Nd  0.500  0.000  0.247
Nd  0.500  0.000  0.753
Y  0.500  0.500  0.500
Mg  0.500  0.500  0.000

VASP energy = -36.6 eV/cell
V = 33.3 Å³ per atom
E_form = 0.00 eV/atom
Energy above the lowest structure with this stoichiometry = 0.0000 eV/atom
Symmetry = No. 123

***

Y2SbAs | PBE-GGA | relaxed

a = 3.772 Å, b = 4.019 Å, c = 14.620 Å
α = 90.00°, β = 90.00°, γ = 90.00°
Fractional positions:
Y  0.000  0.000  0.000
Y  0.000  0.500  0.230
Y  0.500  0.000  0.730
Y  0.500  0.500  0.500
Sb  0.000  0.000  0.396
Sb  0.500  0.500  0.896
As  0.000  0.500  0.652
As  0.500  0.000  0.152

Formation energy (no corrections) = -1.0736 eV/atom
VASP energy = -52.0 eV/cell
V = 27.7 Å³ per atom
Symmetry = No. 44

***

NdZnSnAu | PBE-GGA | relaxed

a = 7.136 Å, b = 7.136 Å, c = 7.136 Å
α = 90.00°, β = 90.00°, γ = 90.00°
Fractional positions:
Nd  0.000  0.000  0.000
Nd  0.000  0.500  0.500
Nd  0.500  0.000  0.500
Nd  0.500  0.500  0.000
Zn  0.250  0.250  0.750
Zn  0.250  0.750  0.250
Zn  0.750  0.250  0.250
Zn  0.750  0.750  0.750
Sn  0.000  0.000  0.500
Sn  0.000  0.500  0.000
Sn  0.500  0.000  0.000
Sn  0.500  0.500  0.500
Au  0.250  0.250  0.250
Au  0.250  0.750  0.750
Au  0.750  0.250  0.750
Au  0.750  0.750  0.250

VASP energy = -61.4 eV/cell
V = 22.7 Å³ per atom
E_form = -0.51 eV/atom
Symmetry = No. 216

***

KYMo2 | PBE-GGA | relaxed

a = 5.615 Å, b = 10.894 Å, c = 2.784 Å
α = 90.00°, β = 96.05°, γ = 90.00°
Fractional positions:
K  0.000  0.000  0.000
K  0.500  0.500  0.000
Y  0.000  0.500  0.000
Y  0.500  0.000  0.000
Mo  0.250  0.250  0.500
Mo  0.250  0.750  0.500
Mo  0.750  0.250  0.500
Mo  0.750  0.750  0.500

VASP energy = -48.7 eV/cell
V = 21.2 Å³ per atom
E_form = 1.22 eV/atom
Energy above the lowest structure with this stoichiometry = 0.6848 eV/atom
Symmetry = No. 12

***

LiSmSc | PBE-GGA | relaxed

a = 3.779 Å, b = 3.779 Å, c = 11.149 Å
α = 90.00°, β = 90.00°, γ = 90.00°
Fractional positions:
Li  0.250  0.250  0.062
Li  0.750  0.750  0.938
Sm  0.250  0.250  0.753
Sm  0.750  0.750  0.247
Sc  0.250  0.250  0.428
Sc  0.750  0.750  0.572

VASP energy = -25.6 eV/cell
V = 26.5 Å³ per atom
E_form = 0.06 eV/atom
Energy above the lowest structure with this stoichiometry = 0.0000 eV/atom
Symmetry = No. 129

***

Bi2MoN | PBE-GGA | relaxed

a = 6.400 Å, b = 6.400 Å, c = 8.918 Å
α = 90.00°, β = 90.00°, γ = 90.00°
Fractional positions:
Bi  0.194  0.250  0.125
Bi  0.250  0.694  0.375
Bi  0.250  0.806  0.875
Bi  0.306  0.250  0.625
Bi  0.694  0.750  0.625
Bi  0.750  0.194  0.875
Bi  0.750  0.306  0.375
Bi  0.806  0.750  0.125
Mo  0.000  0.000  0.500
Mo  0.000  0.500  0.750
Mo  0.500  0.000  0.250
Mo  0.500  0.500  0.000
N  0.000  0.000  0.000
N  0.000  0.500  0.250
N  0.500  0.000  0.750
N  0.500  0.500  0.500

Formation energy (no corrections) = 1.1876 eV/atom
VASP energy = -88.7 eV/cell
V = 22.8 Å³ per atom
Symmetry = No. 122

***

SrPb2Au | PBE-GGA | relaxed

a = 4.776 Å, b = 4.776 Å, c = 4.992 Å
α = 90.00°, β = 90.00°, γ = 90.00°
Fractional positions:
Sr  0.000  0.000  0.000
Pb  0.000  0.500  0.500
Pb  0.500  0.000  0.500
Au  0.500  0.500  0.000

VASP energy = -13.7 eV/cell
V = 28.5 Å³ per atom
E_form = -0.33 eV/atom
Symmetry = No. 123

***

BC2 | PBE-GGA | relaxed

a = 4.599 Å, b = 2.607 Å, c = 6.512 Å
α = 90.00°, β = 90.79°, γ = 90.00°
Fractional positions:
B  0.000  0.000  0.000
B  0.003  0.000  0.646
B  0.490  0.500  0.939
B  0.852  0.500  0.374
C  0.171  0.500  0.047
C  0.189  0.500  0.283
C  0.347  0.000  0.604
C  0.348  0.000  0.364
C  0.502  0.500  0.689
C  0.661  0.000  0.273
C  0.665  0.000  0.048
C  0.823  0.500  0.628

VASP energy = -96.8 eV/cell
V = 6.5 Å³ per atom
E_form = 0.31 eV/atom
Energy above the lowest structure with this stoichiometry = 0.0712 eV/atom
Symmetry = No. 6

***

Rb3NpAg2Br9 | PBE-GGA | relaxed

a = 7.995 Å, b = 7.995 Å, c = 9.926 Å
α = 90.00°, β = 90.00°, γ = 120.00°
Fractional positions:
Rb  0.000  0.000  0.000
Rb  0.333  0.667  0.731
Rb  0.667  0.333  0.269
Np  0.000  0.000  0.500
Ag  0.333  0.667  0.150
Ag  0.667  0.333  0.850
Br  0.000  0.500  0.000
Br  0.164  0.327  0.337
Br  0.164  0.836  0.337
Br  0.327  0.164  0.663
Br  0.500  0.000  0.000
Br  0.500  0.500  0.000
Br  0.673  0.836  0.337
Br  0.836  0.164  0.663
Br  0.836  0.673  0.663

Formation energy (no corrections) = -1.2015 eV/atom
VASP energy = -54.6 eV/cell
V = 36.6 Å³ per atom
Symmetry = No. 164

***

TlSnBi | PBE-GGA | relaxed

a = 4.215 Å, b = 13.325 Å, c = 6.894 Å
α = 90.00°, β = 90.00°, γ = 90.00°
Fractional positions:
Tl  0.000  0.167  0.250
Tl  0.000  0.833  0.750
Tl  0.500  0.333  0.750
Tl  0.500  0.667  0.250
Sn  0.000  0.500  0.000
Sn  0.000  0.500  0.500
Sn  0.500  0.000  0.000
Sn  0.500  0.000  0.500
Bi  0.000  0.131  0.750
Bi  0.000  0.869  0.250
Bi  0.500  0.369  0.250
Bi  0.500  0.631  0.750

VASP energy = -40.4 eV/cell
V = 32.3 Å³ per atom
E_form = 0.05 eV/atom
Energy above the lowest structure with this stoichiometry = 0.0599 eV/atom
Symmetry = No. 63

***

- Number 3 is which compound?
  Nd6YMg

***

- Which of these has the highest V?
  Rb3NpAg2Br9

***

Repeat the eighth record exactly.
Bi2MoN | PBE-GGA | relaxed

a = 6.400 Å, b = 6.400 Å, c = 8.918 Å
α = 90.00°, β = 90.00°, γ = 90.00°
Fractional positions:
Bi  0.194  0.250  0.125
Bi  0.250  0.694  0.375
Bi  0.250  0.806  0.875
Bi  0.306  0.250  0.625
Bi  0.694  0.750  0.625
Bi  0.750  0.194  0.875
Bi  0.750  0.306  0.375
Bi  0.806  0.750  0.125
Mo  0.000  0.000  0.500
Mo  0.000  0.500  0.750
Mo  0.500  0.000  0.250
Mo  0.500  0.500  0.000
N  0.000  0.000  0.000
N  0.000  0.500  0.250
N  0.500  0.000  0.750
N  0.500  0.500  0.500

Formation energy (no corrections) = 1.1876 eV/atom
VASP energy = -88.7 eV/cell
V = 22.8 Å³ per atom
Symmetry = No. 122

***

- What is the formula in the tenth record?
  BC2